No. 1
The following is a PBE-GGA calculation of SrCaAc2Se4 after structural relaxation, from the Alexandria database.

```
data_SrCaAc2Se4
_cell_length_a 7.582
_cell_length_b 4.375
_cell_length_c 7.700
_cell_angle_alpha 90.00
_cell_angle_beta 109.12
_cell_angle_gamma 90.00
_symmetry_space_group_name_H-M 'P 1 2/m 1'
_symmetry_Int_Tables_number 10
loop_
_symmetry_equiv_pos_as_xyz
'x,y,z'
'-x,-y,-z'
'-x,y,-z'
'x,-y,z'
loop_
_atom_site_label
_atom_site_fract_x
_atom_site_fract_y
_atom_site_fract_z
_atom_site_occupancy
Sr1 0.000 0.000 0.000 1
Ca1 0.500 0.500 0.000 1
Ac1 0.000 0.500 0.500 1
Ac2 0.500 0.000 0.500 1
Se1 0.253 0.500 0.240 1
Se2 0.261 0.000 0.764 1
```

Calculated values
Magnetic moment = 0.00 Bohr magnetons per cell
Formation energy (no corrections) = -185 kJ per mole of atoms

No. 2
The following is a PBE-GGA calculation of SrCa2AcSe4 after structural relaxation, from the Alexandria database.

```
data_SrCa2AcSe4
_cell_length_a 7.508
_cell_length_b 4.334
_cell_length_c 7.526
_cell_angle_alpha 90.00
_cell_angle_beta 109.42
_cell_angle_gamma 90.00
_symmetry_space_group_name_H-M 'P 1 2/m 1'
_symmetry_Int_Tables_number 10
loop_
_symmetry_equiv_pos_as_xyz
'x,y,z'
'-x,-y,-z'
'-x,y,-z'
'x,-y,z'
loop_
_atom_site_label
_atom_site_fract_x
_atom_site_fract_y
_atom_site_fract_z
_atom_site_occupancy
Sr1 0.000 0.000 0.000 1
Ca1 0.500 0.000 0.500 1
Ca2 0.500 0.500 0.000 1
Ac1 0.000 0.500 0.500 1
Se1 0.264 0.500 0.254 1
Se2 0.266 0.000 0.757 1
```

Calculated values
Magnetic moment = 0.00 Bohr magnetons per cell
Formation energy (no corrections) = -190 kJ per mole of atoms

No. 3
The following is a PBE-GGA calculation of CaAc3Tb2Se6 after structural relaxation, from the Alexandria database.

```
data_CaAc3Tb2Se6
_cell_length_a 7.307
_cell_length_b 12.668
_cell_length_c 7.667
_cell_angle_alpha 90.00
_cell_angle_beta 108.42
_cell_angle_gamma 90.00
_symmetry_space_group_name_H-M 'C 1 2/m 1'
_symmetry_Int_Tables_number 12
loop_
_symmetry_equiv_pos_as_xyz
'x,y,z'
'-x,-y,-z'
'-x,y,-z'
'x,-y,z'
'x+1/2,y+1/2,z'
'-x+1/2,-y+1/2,-z'
'-x+1/2,y+1/2,-z'
'x+1/2,-y+1/2,z'
loop_
_atom_site_label
_atom_site_fract_x
_atom_site_fract_y
_atom_site_fract_z
_atom_site_occupancy
Ca1 0.000 0.000 0.000 1
Ac1 0.000 0.166 0.500 1
Ac2 0.000 0.500 0.500 1
Tb1 0.000 0.333 0.000 1
Se1 0.239 0.500 0.221 1
Se2 0.242 0.167 0.223 1
```

Calculated values
Magnetic moment = 0.00 Bohr magnetons per cell
Formation energy (no corrections) = -178 kJ per mole of atoms